[1]
Density functional theory data (PBE-GGA) for a geometry-optimized Rb3Np3CuS8 structure.

Summary:
**SG**: C2/m (12)
**Final energy**: -6.382 eV per atom
**Crystal system**: monoclinic

```
data_Rb3Np3CuS8
_cell_length_a 7.873
_cell_length_b 7.873
_cell_length_c 8.782
_cell_angle_alpha 113.96
_cell_angle_beta 113.96
_cell_angle_gamma 63.31
_symmetry_space_group_name_H-M 'P 1'
_symmetry_Int_Tables_number 1
loop_
_symmetry_equiv_pos_as_xyz
'x,y,z'
loop_
_atom_site_label
_atom_site_type_symbol
_atom_site_fract_x
_atom_site_fract_y
_atom_site_fract_z
_atom_site_occupancy
Rb1 Rb 0.000 0.000 0.000 1
Rb2 Rb 0.000 0.500 0.000 1
Rb3 Rb 0.500 0.000 0.000 1
Np1 Np 0.000 0.500 0.500 1
Np2 Np 0.500 0.000 0.500 1
Np3 Np 0.500 0.500 0.500 1
Cu1 Cu 0.000 0.000 0.500 1
S1 S 0.197 0.197 0.657 1
S2 S 0.251 0.696 0.697 1
S3 S 0.267 0.267 0.306 1
S4 S 0.304 0.749 0.303 1
S5 S 0.696 0.251 0.697 1
S6 S 0.733 0.733 0.694 1
S7 S 0.749 0.304 0.303 1
S8 S 0.803 0.803 0.343 1
```

[2]
Density functional theory data (PBE-GGA) for a geometry-optimized Sr2ScTiC structure.

Summary:
**SG**: P4/mmm (123)
**Crystal system**: tetragonal
**ΔE_f**: 1.89 eV/atom

```
data_Sr2ScTiC
_cell_length_a 6.038
_cell_length_b 6.038
_cell_length_c 4.793
_cell_angle_alpha 90.00
_cell_angle_beta 90.00
_cell_angle_gamma 90.00
_symmetry_space_group_name_H-M 'P 1'
_symmetry_Int_Tables_number 1
loop_
_symmetry_equiv_pos_as_xyz
'x,y,z'
loop_
_atom_site_label
_atom_site_type_symbol
_atom_site_fract_x
_atom_site_fract_y
_atom_site_fract_z
_atom_site_occupancy
Sr1 Sr 0.000 0.500 0.000 1
Sr2 Sr 0.500 0.000 0.000 1
Sc1 Sc 0.000 0.000 0.500 1
Ti1 Ti 0.000 0.000 0.000 1
C1 C 0.500 0.500 0.500 1
```

[3]
Density functional theory data (PBE-GGA) for a geometry-optimized RbSmNiCl6 structure.

Summary:
**SG**: P312 (149)
**Final energy**: -4.143 eV per atom
**Crystal system**: trigonal

```
data_RbSmNiCl6
_cell_length_a 6.720
_cell_length_b 6.720
_cell_length_c 7.351
_cell_angle_alpha 90.00
_cell_angle_beta 90.00
_cell_angle_gamma 120.00
_symmetry_space_group_name_H-M 'P 1'
_symmetry_Int_Tables_number 1
loop_
_symmetry_equiv_pos_as_xyz
'x,y,z'
loop_
_atom_site_label
_atom_site_type_symbol
_atom_site_fract_x
_atom_site_fract_y
_atom_site_fract_z
_atom_site_occupancy
Rb1 Rb 0.000 0.000 0.000 1
Sm1 Sm 0.333 0.667 0.500 1
Ni1 Ni 0.667 0.333 0.500 1
Cl1 Cl 0.386 0.031 0.698 1
Cl2 Cl 0.386 0.355 0.302 1
Cl3 Cl 0.645 0.031 0.302 1
Cl4 Cl 0.645 0.614 0.698 1
Cl5 Cl 0.969 0.355 0.698 1
Cl6 Cl 0.969 0.614 0.302 1
```

[4]
Density functional theory data (PBE-GGA) for a geometry-optimized Tb3PrDy2As6 structure.

Summary:
**SG**: C2/m (12)
**Crystal system**: monoclinic
**ΔE_f**: -1.53 eV/atom

```
data_Tb3PrDy2As6
_cell_length_a 7.208
_cell_length_b 7.208
_cell_length_c 7.208
_cell_angle_alpha 99.59
_cell_angle_beta 99.59
_cell_angle_gamma 119.99
_symmetry_space_group_name_H-M 'P 1'
_symmetry_Int_Tables_number 1
loop_
_symmetry_equiv_pos_as_xyz
'x,y,z'
loop_
_atom_site_label
_atom_site_type_symbol
_atom_site_fract_x
_atom_site_fract_y
_atom_site_fract_z
_atom_site_occupancy
Tb1 Tb 0.000 0.000 0.000 1
Tb2 Tb 0.335 0.665 0.000 1
Tb3 Tb 0.665 0.335 0.000 1
Pr1 Pr 0.500 0.500 0.500 1
Dy1 Dy 0.167 0.833 0.500 1
Dy2 Dy 0.833 0.167 0.500 1
As1 As 0.076 0.416 0.247 1
As2 As 0.244 0.244 0.752 1
As3 As 0.416 0.076 0.247 1
As4 As 0.584 0.924 0.753 1
As5 As 0.756 0.756 0.248 1
As6 As 0.924 0.584 0.753 1
```

[5]
Density functional theory data (PBE-GGA) for a geometry-optimized Pr2NdTh3 structure.

Summary:
**SG**: C2/m (12)
**Crystal system**: monoclinic
**ΔE_f**: 0.03 eV/atom

```
data_Pr2NdTh3
_cell_length_a 8.078
_cell_length_b 8.078
_cell_length_c 11.580
_cell_angle_alpha 114.72
_cell_angle_beta 114.72
_cell_angle_gamma 36.79
_symmetry_space_group_name_H-M 'P 1'
_symmetry_Int_Tables_number 1
loop_
_symmetry_equiv_pos_as_xyz
'x,y,z'
loop_
_atom_site_label
_atom_site_type_symbol
_atom_site_fract_x
_atom_site_fract_y
_atom_site_fract_z
_atom_site_occupancy
Pr1 Pr 0.037 0.037 0.363 1
Pr2 Pr 0.296 0.296 0.638 1
Pr3 Pr 0.704 0.704 0.362 1
Pr4 Pr 0.963 0.963 0.637 1
Nd1 Nd 0.371 0.371 0.362 1
Nd2 Nd 0.629 0.629 0.638 1
Th1 Th 0.122 0.122 0.117 1
Th2 Th 0.211 0.211 0.883 1
Th3 Th 0.455 0.455 0.117 1
Th4 Th 0.545 0.545 0.883 1
Th5 Th 0.789 0.789 0.117 1
Th6 Th 0.878 0.878 0.883 1
```

[6]
Density functional theory data (PBE-GGA) for a geometry-optimized La4ZrAl structure.

Summary:
**SG**: F-43m (216)
**Crystal system**: cubic
**ΔE_f**: 0.46 eV/atom

```
data_La4ZrAl
_cell_length_a 6.447
_cell_length_b 6.447
_cell_length_c 6.447
_cell_angle_alpha 60.00
_cell_angle_beta 60.00
_cell_angle_gamma 60.00
_symmetry_space_group_name_H-M 'P 1'
_symmetry_Int_Tables_number 1
loop_
_symmetry_equiv_pos_as_xyz
'x,y,z'
loop_
_atom_site_label
_atom_site_type_symbol
_atom_site_fract_x
_atom_site_fract_y
_atom_site_fract_z
_atom_site_occupancy
La1 La 0.125 0.125 0.125 1
La2 La 0.125 0.125 0.626 1
La3 La 0.125 0.626 0.125 1
La4 La 0.626 0.125 0.125 1
Zr1 Zr 0.750 0.750 0.750 1
Al1 Al 0.500 0.500 0.500 1
```

[7]
Density functional theory data (PBE-GGA) for a geometry-optimized La2YMgIr structure.

Summary:
**SG**: P4/mmm (123)
**Crystal system**: tetragonal
**ΔE_f**: -0.30 eV/atom

```
data_La2YMgIr
_cell_length_a 5.591
_cell_length_b 5.591
_cell_length_c 5.544
_cell_angle_alpha 90.00
_cell_angle_beta 90.00
_cell_angle_gamma 90.00
_symmetry_space_group_name_H-M 'P 1'
_symmetry_Int_Tables_number 1
loop_
_symmetry_equiv_pos_as_xyz
'x,y,z'
loop_
_atom_site_label
_atom_site_type_symbol
_atom_site_fract_x
_atom_site_fract_y
_atom_site_fract_z
_atom_site_occupancy
La1 La 0.000 0.500 0.000 1
La2 La 0.500 0.000 0.000 1
Y1 Y 0.000 0.000 0.500 1
Mg1 Mg 0.500 0.500 0.500 1
Ir1 Ir 0.000 0.000 0.000 1
```

[8]
Density functional theory data (PBE-GGA) for a geometry-optimized Y2Zn15Ni2 structure.

Summary:
**SG**: R-3m (166)
**Crystal system**: trigonal
**ΔE_f**: -0.23 eV/atom

```
data_Y2Zn15Ni2
_cell_length_a 6.731
_cell_length_b 6.731
_cell_length_c 6.731
_cell_angle_alpha 82.46
_cell_angle_beta 82.46
_cell_angle_gamma 82.46
_symmetry_space_group_name_H-M 'P 1'
_symmetry_Int_Tables_number 1
loop_
_symmetry_equiv_pos_as_xyz
'x,y,z'
loop_
_atom_site_label
_atom_site_type_symbol
_atom_site_fract_x
_atom_site_fract_y
_atom_site_fract_z
_atom_site_occupancy
Y1 Y 0.168 0.168 0.168 1
Y2 Y 0.832 0.832 0.832 1
Zn1 Zn 0.000 0.500 0.500 1
Zn2 Zn 0.150 0.150 0.652 1
Zn3 Zn 0.150 0.652 0.150 1
Zn4 Zn 0.216 0.500 0.784 1
Zn5 Zn 0.216 0.784 0.500 1
Zn6 Zn 0.348 0.850 0.850 1
Zn7 Zn 0.500 0.000 0.500 1
Zn8 Zn 0.500 0.216 0.784 1
Zn9 Zn 0.500 0.500 0.000 1
Zn10 Zn 0.500 0.784 0.216 1
Zn11 Zn 0.652 0.150 0.150 1
Zn12 Zn 0.784 0.216 0.500 1
Zn13 Zn 0.784 0.500 0.216 1
Zn14 Zn 0.850 0.348 0.850 1
Zn15 Zn 0.850 0.850 0.348 1
Ni1 Ni 0.398 0.398 0.398 1
Ni2 Ni 0.602 0.602 0.602 1
```

[9]
Density functional theory data (PBE-GGA) for a geometry-optimized La4PrHo2Er structure.

Summary:
**SG**: Pmmm (47)
**Crystal system**: orthorhombic
**ΔE_f**: 0.08 eV/atom

```
data_La4PrHo2Er
_cell_length_a 5.998
_cell_length_b 5.999
_cell_length_c 7.729
_cell_angle_alpha 90.00
_cell_angle_beta 90.00
_cell_angle_gamma 90.00
_symmetry_space_group_name_H-M 'P 1'
_symmetry_Int_Tables_number 1
loop_
_symmetry_equiv_pos_as_xyz
'x,y,z'
loop_
_atom_site_label
_atom_site_type_symbol
_atom_site_fract_x
_atom_site_fract_y
_atom_site_fract_z
_atom_site_occupancy
La1 La 0.000 0.000 0.241 1
La2 La 0.000 0.000 0.759 1
La3 La 0.500 0.500 0.243 1
La4 La 0.500 0.500 0.757 1
Pr1 Pr 0.500 0.000 0.500 1
Ho1 Ho 0.000 0.500 0.000 1
Ho2 Ho 0.500 0.000 0.000 1
Er1 Er 0.000 0.500 0.500 1
```

[10]
Density functional theory data (PBE-GGA) for a geometry-optimized ScSe2O structure.

Summary:
**SG**: Fm-3m (225)
**Final energy**: -4.826 eV per atom
**Crystal system**: cubic

```
data_ScSe2O
_cell_length_a 4.589
_cell_length_b 4.589
_cell_length_c 4.589
_cell_angle_alpha 60.00
_cell_angle_beta 60.00
_cell_angle_gamma 60.00
_symmetry_space_group_name_H-M 'P 1'
_symmetry_Int_Tables_number 1
loop_
_symmetry_equiv_pos_as_xyz
'x,y,z'
loop_
_atom_site_label
_atom_site_type_symbol
_atom_site_fract_x
_atom_site_fract_y
_atom_site_fract_z
_atom_site_occupancy
Sc1 Sc 0.000 0.000 0.000 1
Se1 Se 0.250 0.250 0.250 1
Se2 Se 0.750 0.750 0.750 1
O1 O 0.500 0.500 0.500 1
```

These records have size of the total moment values of 0.2139; 0.1843; 0.2305; 0.0000; 0.0000; 0.3384; 0.0000; 0.0000; 0.0000; 0.0035 μB per atom, in the order they appear.